An optimized crystal structure of Na2TmNi3F12. Source: the Alexandria database, functional PBE with a Hubbard U.

abc: 6.816 6.816 6.816
angles: 64.50 64.50 64.50
Site moments in Bohr magnetons follow the coordinates.
Fractional coordinates of all 18 atoms:
Na1 0.641 0.641 0.641  0.00
Na2 0.359 0.359 0.359  0.00
Tm1 0.000 0.000 0.000  0.01
Ni1 0.500 0.000 0.000  1.66
Ni2 0.000 0.500 0.000  1.66
Ni3 0.000 0.000 0.500  1.66
F1 0.270 0.270 0.892  -0.01
F2 0.868 0.868 0.393  0.01
F3 0.393 0.868 0.868  0.01
F4 0.892 0.270 0.270  -0.01
F5 0.868 0.393 0.868  0.01
F6 0.270 0.892 0.270  -0.01
F7 0.730 0.730 0.108  -0.01
F8 0.132 0.132 0.607  0.01
F9 0.607 0.132 0.132  0.01
F10 0.108 0.730 0.730  -0.01
F11 0.132 0.607 0.132  0.01
F12 0.730 0.108 0.730  -0.01

Values from the calculation:
M_tot = 5.0 Bohr magnetons per cell
Total energy = -4.623 eV per atom
Crystal system = trigonal